Entry 1:
{"formula": "Pr3ErO6", "functional": "PBE", "state": "relaxed", "lattice": [[5.029, 2.904, 3.902], [-5.029, 2.904, 3.902], [0.000, -5.808, 3.902]], "species": ["Pr", "Pr", "Pr", "Pr", "Pr", "Pr", "Er", "Er", "O", "O", "O", "O", "O", "O", "O", "O", "O", "O", "O", "O"], "frac_coords": [[0.057, 0.752, 0.564], [0.248, 0.436, 0.943], [0.436, 0.943, 0.248], [0.564, 0.057, 0.752], [0.752, 0.564, 0.057], [0.943, 0.248, 0.436], [0.000, 0.000, 0.000], [0.500, 0.500, 0.500], [0.034, 0.693, 0.905], [0.095, 0.966, 0.307], [0.194, 0.434, 0.588], [0.307, 0.095, 0.966], [0.412, 0.806, 0.566], [0.434, 0.588, 0.194], [0.566, 0.412, 0.806], [0.588, 0.194, 0.434], [0.693, 0.905, 0.034], [0.806, 0.566, 0.412], [0.905, 0.034, 0.693], [0.966, 0.307, 0.095]]}

Entry 2:
{"formula": "KZnSb2", "functional": "PBE", "state": "relaxed", "lattice": [[4.573, 0.000, 0.000], [0.000, 4.573, 0.000], [0.000, 0.000, 5.350]], "species": ["K", "Zn", "Sb", "Sb"], "frac_coords": [[0.000, 0.000, 0.000], [0.500, 0.500, 0.000], [0.000, 0.500, 0.500], [0.500, 0.000, 0.500]]}

Entry 3:
{"formula": "Li2Sc2Au3", "functional": "PBE", "state": "relaxed", "lattice": [[1.718, -11.636, 0.000], [1.718, 11.636, 0.000], [0.000, 0.000, 3.281]], "species": ["Li", "Li", "Sc", "Sc", "Au", "Au", "Au"], "frac_coords": [[0.205, 0.795, 0.000], [0.795, 0.205, 0.000], [0.075, 0.925, 0.000], [0.925, 0.075, 0.000], [0.354, 0.646, 0.500], [0.500, 0.500, 0.500], [0.646, 0.354, 0.500]], "formation_enthalpy_0k_ev_per_atom": -0.6105}

Entry 4:
{"formula": "CaMnCr2", "functional": "PBE", "state": "relaxed", "lattice": [[2.549, -4.616, 0.000], [2.549, 4.616, 0.000], [0.000, 0.000, 2.534]], "species": ["Ca", "Mn", "Cr", "Cr"], "frac_coords": [[0.000, 0.000, 0.000], [0.500, 0.500, 0.000], [0.000, 0.500, 0.500], [0.500, 0.000, 0.500]], "formation_enthalpy_0k_ev_per_atom": 0.9982, "polymorph_energy_kj_per_mol_atoms": 53.9}

Entry 5:
{"formula": "Ac4Ga3Ge5", "functional": "PBE", "state": "relaxed", "lattice": [[7.568, -2.407, 0.000], [7.568, 2.407, 0.000], [-4.029, 0.000, 9.262]], "species": ["Ac", "Ac", "Ac", "Ac", "Ga", "Ga", "Ga", "Ge", "Ge", "Ge", "Ge", "Ge"], "frac_coords": [[0.051, 0.051, 0.340], [0.255, 0.255, 0.790], [0.745, 0.745, 0.210], [0.949, 0.949, 0.660], [0.000, 0.000, 0.000], [0.372, 0.372, 0.122], [0.628, 0.628, 0.878], [0.282, 0.282, 0.477], [0.417, 0.417, 0.391], [0.500, 0.500, 0.000], [0.583, 0.583, 0.609], [0.718, 0.718, 0.523]], "formation_enthalpy_0k_ev_per_atom": -0.4365}

Entry 6:
{"formula": "La4Pr3Y", "functional": "PBE", "state": "relaxed", "lattice": [[12.932, -1.778, 0.000], [12.932, 1.778, 0.000], [-0.379, 0.000, 6.334]], "species": ["La", "La", "La", "La", "Pr", "Pr", "Pr", "Y"], "frac_coords": [[0.106, 0.106, 0.233], [0.280, 0.280, 0.755], [0.720, 0.720, 0.245], [0.894, 0.894, 0.767], [0.000, 0.000, 0.500], [0.144, 0.144, 0.743], [0.856, 0.856, 0.257], [0.500, 0.500, 0.000]], "formation_enthalpy_0k_ev_per_atom": 0.1875, "polymorph_energy_kj_per_mol_atoms": 15.1}

Entry 7:
{"formula": "Tc2AgSb", "functional": "PBE", "state": "relaxed", "lattice": [[1.598, -2.468, 0.000], [1.598, 2.468, 0.000], [0.000, 0.000, 8.934]], "species": ["Tc", "Tc", "Ag", "Sb"], "frac_coords": [[0.000, 0.000, 0.236], [0.000, 0.000, 0.764], [0.500, 0.500, 0.500], [0.500, 0.500, 0.000]]}

Entry 8:
{"formula": "In2SbSe", "functional": "PBE", "state": "relaxed", "lattice": [[5.179, 0.000, 0.000], [0.000, 8.834, 0.000], [0.000, 0.000, 5.877]], "species": ["In", "In", "In", "In", "Sb", "Sb", "Se", "Se"], "frac_coords": [[0.000, 0.125, 0.000], [0.000, 0.633, 0.914], [0.500, 0.367, 0.414], [0.500, 0.875, 0.500], [0.000, 0.361, 0.648], [0.500, 0.639, 0.148], [0.000, 0.894, 0.664], [0.500, 0.106, 0.164]], "polymorph_energy_kj_per_mol_atoms": 4.0}

Asked for DFT total energy across the records above, the calculation gives -165.3, -10.4, -30.6, -26.4, -53.8, -39.0, -24.7, -27.8 eV for the cell shown in order.